DFT (GGA+U) results for a relaxed Pa2MnVO8 crystal.

a = 4.751 Å, b = 4.755 Å, c = 7.099 Å
α = 87.77°, β = 87.80°, γ = 88.34°
Positions (direct):
Pa 0.008 0.006 0.251
Pa 0.992 0.994 0.749
Mn 0.500 0.500 0.000
V 0.500 0.500 0.500
O 0.199 0.800 0.501
O 0.205 0.795 0.999
O 0.299 0.298 0.723
O 0.321 0.323 0.242
O 0.679 0.677 0.758
O 0.701 0.702 0.277
O 0.795 0.205 0.001
O 0.801 0.200 0.499

Properties
As for the total energy: -8.93 eV per atom. As for the size of the total moment: 6.0 μB/f.u. Its symmetry is No. 2.